VASP calculation (PBE) on a relaxed HfTh2Pt crystal.

Unit cell a=10.6669 b=10.6669 c=10.6669 alpha=18.68 beta=18.68 gamma=18.68
Sites, in units of the cell vectors:
Hf 0.0000 0.0000 0.0000
Th 0.0966 0.0966 0.0966
Th 0.9034 0.9034 0.9034
Pt 0.5000 0.5000 0.5000

Values from the calculation:
**Formation energy**: 29 kJ/mol of formula units
**Spin magnetization**: 0.1 μB per cell
**Calculated total energy**: -7.6330 eV per atom
**N(E_F)**: 6.16 states/eV/f.u.